Entry from Alexandria: Nd2Sm5Er after structural relaxation (PBE-GGA).

Values from the calculation:
- formation enthalpy at 0 K (eV/f.u.) = 0.1
- E above lowest polymorph (kJ per mole of atoms) = 0.0

Cell: 7.255 14.526 5.112 Å, 90.00 90.00 90.00°
Space group Pbam (No. 55)
Symmetry-distinct sites (fractional):
Nd 0.249 0.124 0.000 x4
Sm 0.000 0.500 0.500 x2
Sm 0.001 0.751 0.500 x4
Sm 0.249 0.376 0.000 x4
Er 0.000 0.000 0.500 x2

Entry from Alexandria: Nd2Be4Ir5 after structural relaxation (PBE-GGA).

Values from the calculation:
- formation enthalpy at 0 K (eV/f.u.) = -6.9

Cell: 5.721 9.607 12.478 Å, 90.00 90.00 90.00°
Space group Fmmm (No. 69)
Symmetry-distinct sites (fractional):
Nd 0.000 0.000 0.136 x8
Be 0.000 0.162 0.370 x16
Ir 0.000 0.000 0.500 x4
Ir 0.250 0.250 0.000 x8
Ir 0.250 0.250 0.250 x8

Entry from Alexandria: Mg2FeMoCl after structural relaxation (PBE-GGA).

Values from the calculation:
- VASP energy (eV/atom) = -4.345

Cell: 5.088 5.088 4.286 Å, 90.00 90.00 90.00°
Space group P4/mmm (No. 123)
Symmetry-distinct sites (fractional):
Mg 0.000 0.500 0.000 x2
Fe 0.000 0.000 0.000 x1
Mo 0.000 0.000 0.500 x1
Cl 0.500 0.500 0.500 x1

Entry from Alexandria: Ca2ReSb after structural relaxation (PBE-GGA).

Values from the calculation:
- VASP energy (eV/atom) = -4.868

Cell: 4.515 4.515 4.502 Å, 90.00 90.00 90.00°
Space group P4/mmm (No. 123)
Symmetry-distinct sites (fractional):
Ca 0.000 0.500 0.000 x2
Re 0.000 0.000 0.500 x1
Sb 0.500 0.500 0.500 x1

Entry from Alexandria: Ba2PmPa3N8 after structural relaxation (PBE-GGA).

Values from the calculation:
- VASP energy (eV/atom) = -8.532

Cell: 7.1825 7.1825 18.5895 Å, 90.00 90.00 120.00°
Space group R3m (No. 160, hexagonal axes)
Symmetry-distinct sites (fractional):
Ba 0.0000 0.0000 0.0000 x3
Ba 0.0000 0.0000 0.3773 x3
Pm 0.0000 0.0000 0.7700 x3
Pa 0.0031 0.5015 0.8772 x9
N 0.0000 0.0000 0.1517 x3
N 0.0000 0.0000 0.6076 x3
N 0.0190 0.5095 0.1490 x9
N 0.1891 0.3781 0.9352 x9

Entry from Alexandria: EuLuPt2 after structural relaxation (PBE-GGA).

Values from the calculation:
- formation enthalpy at 0 K (eV/f.u.) = -4.2
- E above lowest polymorph (kJ per mole of atoms) = 8.4

Cell: 6.992 6.992 6.992 Å, 90.00 90.00 90.00°
Space group Fm-3m (No. 225)
Symmetry-distinct sites (fractional):
Eu 0.000 0.000 0.000 x4
Lu 0.000 0.000 0.500 x4
Pt 0.250 0.250 0.250 x8

In states/eV/f.u., the N(E_F) values for the records above are, in order, 11.3, 5.5, 5.1, 3.7, 16.2, 10.4.